[1]
{"formula": "LiZr2N3", "functional": "GGA-PBEsol", "state": "relaxed", "lattice": [[-3.6396, -0.2820, 2.3959], [3.6214, -0.9179, 5.3933], [-1.6721, 6.0761, -1.8249]], "species": ["N", "N", "N", "N", "N", "N", "Zr", "Zr", "Zr", "Zr", "Li", "Li"], "frac_coords": [[0.2500, 0.0330, 0.6694], [0.7500, 0.9670, 0.3306], [0.7500, 0.3306, 0.9670], [0.2500, 0.6694, 0.0330], [0.7500, 0.6854, 0.6854], [0.2500, 0.3146, 0.3146], [0.7500, 0.9806, 0.6631], [0.2500, 0.0194, 0.3369], [0.7500, 0.6631, 0.9806], [0.2500, 0.3369, 0.0194], [0.2500, 0.6343, 0.6343], [0.7500, 0.3657, 0.3657]], "dft_energy_ev_per_cell": -109.553, "e_form_raw_kj_per_mol_atoms": -145.5, "crystal_system": "orthorhombic", "magnetic_moment_mub_per_cell": 0.0, "space_group": "Cmcm"}

=====

[2]
{"formula": "Na2LiNb2", "functional": "GGA-PBEsol", "state": "relaxed", "lattice": [[3.8963, 0.0000, 0.0000], [0.0000, 3.8963, 0.0000], [-1.9481, -1.9481, 7.4423]], "species": ["Li", "Na", "Na", "Nb", "Nb"], "frac_coords": [[0.0000, 0.0000, 0.0000], [0.2500, 0.7500, 0.5000], [0.7500, 0.2500, 0.5000], [0.5720, 0.5720, 0.1440], [0.4280, 0.4280, 0.8560]], "dft_energy_ev_per_cell": -21.216, "ef_mev_per_atom": 1039, "crystal_system": "tetragonal", "magnetic_moment_mub_per_cell": 0.0, "space_group": "I4/mmm"}

=====

[3]
{"formula": "RbNaLi2Nb", "functional": "GGA-PBEsol", "state": "relaxed", "lattice": [[5.6766, 0.0000, 0.0000], [0.0000, 5.6766, 0.0000], [0.0000, 0.0000, 6.0150]], "species": ["Rb", "Na", "Li", "Li", "Nb"], "frac_coords": [[0.0000, 0.0000, 0.0000], [0.5000, 0.5000, 0.5000], [0.0000, 0.5000, 0.0000], [0.5000, 0.0000, 0.0000], [0.0000, 0.0000, 0.5000]], "dft_energy_ev_per_cell": -9.502, "ef_mev_per_atom": 1535, "crystal_system": "tetragonal", "magnetic_moment_mub_per_cell": 4.8, "space_group": "P4/mmm"}

=====

[4]
{"formula": "NaLi2TaNb", "functional": "GGA-PBEsol", "state": "relaxed", "lattice": [[-0.2897, 3.9466, 2.4483], [-4.4064, -1.0088, 1.1047], [1.5664, -2.4009, 4.0555]], "species": ["Ta", "Nb", "Li", "Li", "Na"], "frac_coords": [[0.5000, 0.5000, 0.5000], [0.0000, 0.0000, 0.0000], [0.5000, 0.0000, 0.0000], [0.0000, 0.5000, 0.0000], [0.0000, 0.0000, 0.5000]], "dft_energy_ev_per_cell": -17.898, "ef_mev_per_atom": 2161, "crystal_system": "tetragonal", "magnetic_moment_mub_per_cell": 1.0, "space_group": "P4/mmm"}

=====

[5]
{"formula": "Na2Li2Ni", "functional": "GGA-PBEsol", "state": "relaxed", "lattice": [[4.3705, 0.0000, 0.0000], [0.0000, 7.0247, 0.0000], [0.0000, 0.0000, 7.0247]], "species": ["Ni", "Ni", "Li", "Li", "Li", "Li", "Na", "Na", "Na", "Na"], "frac_coords": [[0.0000, 0.5000, 0.5000], [0.0000, 0.0000, 0.0000], [0.5000, 0.3149, 0.1851], [0.5000, 0.8149, 0.3149], [0.5000, 0.1851, 0.6851], [0.5000, 0.6851, 0.8149], [0.0000, 0.6430, 0.1430], [0.0000, 0.3570, 0.8570], [0.0000, 0.1430, 0.3570], [0.0000, 0.8570, 0.6430]], "dft_energy_ev_per_cell": -20.612, "ef_mev_per_atom": 517, "crystal_system": "tetragonal", "magnetic_moment_mub_per_cell": 0.0, "space_group": "P4/mbm"}

=====

[6]
{"formula": "Na2LiNi3O6", "functional": "GGA-PBEsol", "state": "relaxed", "lattice": [[2.9818, -0.1628, 0.0395], [0.0404, 6.0761, -0.0454], [1.3848, 1.8072, 6.1849]], "species": ["O", "O", "O", "O", "O", "O", "Na", "Na", "Ni", "Ni", "Ni", "Li"], "frac_coords": [[0.7972, 0.8880, 0.3033], [0.5923, 0.2346, 0.9729], [0.8277, 0.4440, 0.3557], [0.1723, 0.5560, 0.6443], [0.2028, 0.1120, 0.6967], [0.4077, 0.7654, 0.0271], [0.6825, 0.8312, 0.6693], [0.3175, 0.1688, 0.3307], [0.0000, 0.0000, 0.0000], [0.6844, 0.3365, 0.6684], [0.3156, 0.6635, 0.3316], [0.0000, 0.5000, 0.0000]], "dft_energy_ev_per_cell": -68.809, "e_form_raw_kj_per_mol_atoms": -113.2, "crystal_system": "triclinic", "magnetic_moment_mub_per_cell": 3.0, "space_group": "P-1"}

=====

[7]
{"formula": "NaLi3O", "functional": "GGA-PBEsol", "state": "relaxed", "lattice": [[-1.2923, 3.9297, -0.1480], [-3.4945, -1.2190, -1.8539], [-1.8036, -0.4538, 3.6980]], "species": ["Li", "Li", "Li", "Na", "O"], "frac_coords": [[0.0000, 0.0000, 0.5000], [0.5000, 0.0000, 0.0000], [0.0000, 0.5000, 0.0000], [0.5000, 0.5000, 0.5000], [0.0000, 0.0000, 0.0000]], "dft_energy_ev_per_cell": -16.620, "e_form_raw_kj_per_mol_atoms": -78.6, "crystal_system": "cubic", "magnetic_moment_mub_per_cell": 0.0, "space_group": "Pm-3m"}

=====

[8]
{"formula": "NaLiPO2", "functional": "GGA-PBEsol", "state": "relaxed", "lattice": [[3.8811, 0.0000, 0.0000], [0.0000, 3.8811, 0.0000], [0.0000, 0.0000, 4.0717]], "species": ["P", "O", "O", "Na", "Li"], "frac_coords": [[0.0000, 0.0000, 0.5000], [0.5000, 0.0000, 0.0000], [0.0000, 0.5000, 0.0000], [0.5000, 0.5000, 0.5000], [0.0000, 0.0000, 0.0000]], "dft_energy_ev_per_cell": -18.914, "e_form_raw_kj_per_mol_atoms": 14.3, "crystal_system": "tetragonal", "magnetic_moment_mub_per_cell": 0.9, "space_group": "P4/mmm"}

=====

[9]
{"formula": "Na3LiP2O7", "functional": "GGA-PBEsol", "state": "relaxed", "lattice": [[-0.7723, 5.2753, 0.0868], [-2.8267, -2.8913, -3.4761], [-8.8233, -1.4294, 8.3639]], "species": ["Li", "Li", "Na", "Na", "Na", "Na", "Na", "Na", "O", "O", "O", "O", "O", "O", "O", "O", "O", "O", "O", "O", "O", "O", "P", "P", "P", "P"], "frac_coords": [[0.4591, 0.5409, 0.2500], [0.5409, 0.4591, 0.7500], [0.3021, 0.9537, 0.8807], [0.9537, 0.3021, 0.1193], [0.6979, 0.0463, 0.3807], [0.6554, 0.6554, 0.0000], [0.0463, 0.6979, 0.6193], [0.3446, 0.3446, 0.5000], [0.4557, 0.0894, 0.6877], [0.0884, 0.9116, 0.2500], [0.7829, 0.1308, 0.9444], [0.5850, 0.7068, 0.6275], [0.0894, 0.4557, 0.3123], [0.4150, 0.2932, 0.1275], [0.7068, 0.5850, 0.3725], [0.5443, 0.9106, 0.1877], [0.8692, 0.2171, 0.5556], [0.9116, 0.0884, 0.7500], [0.1308, 0.7829, 0.0556], [0.2171, 0.8692, 0.4444], [0.9106, 0.5443, 0.8123], [0.2932, 0.4150, 0.8725], [0.3082, 0.9757, 0.1484], [0.9757, 0.3082, 0.8516], [0.6918, 0.0243, 0.6484], [0.0243, 0.6918, 0.3516]], "dft_energy_ev_per_cell": -168.344, "e_form_raw_kj_per_mol_atoms": -220.3, "crystal_system": "orthorhombic", "magnetic_moment_mub_per_cell": 0.0, "space_group": "C222_1"}

=====

[10]
{"formula": "Na2LiVPO6", "functional": "GGA-PBEsol", "state": "relaxed", "lattice": [[5.9124, -0.0730, 0.0000], [-2.8119, 7.2743, 0.0000], [0.0000, 0.0000, 12.2592]], "species": ["V", "V", "V", "V", "O", "O", "O", "O", "O", "O", "O", "O", "O", "O", "O", "O", "O", "O", "O", "O", "O", "O", "O", "O", "O", "O", "O", "O", "Li", "Li", "Li", "Li", "Na", "Na", "Na", "Na", "Na", "Na", "Na", "Na", "P", "P", "P", "P"], "frac_coords": [[0.3009, 0.3894, 0.7876], [0.8009, 0.8894, 0.7124], [0.6991, 0.6106, 0.2124], [0.1991, 0.1106, 0.2876], [0.0466, 0.6655, 0.1808], [0.5466, 0.1655, 0.3192], [0.4534, 0.8345, 0.6808], [0.9534, 0.3345, 0.8192], [0.1565, 0.1844, 0.9386], [0.7387, 0.2802, 0.5028], [0.7613, 0.2198, 0.0028], [0.0339, 0.9358, 0.3713], [0.7628, 0.5094, 0.3540], [0.2628, 0.0094, 0.1460], [0.2372, 0.4906, 0.6460], [0.0596, 0.2499, 0.2410], [0.5339, 0.4358, 0.1287], [0.2387, 0.7802, 0.9972], [0.5596, 0.7499, 0.2590], [0.4661, 0.5642, 0.8713], [0.8435, 0.8156, 0.0614], [0.9661, 0.0642, 0.6287], [0.4404, 0.2501, 0.7410], [0.9404, 0.7501, 0.7590], [0.3435, 0.3156, 0.4386], [0.7372, 0.9906, 0.8540], [0.2613, 0.7198, 0.4972], [0.6565, 0.6844, 0.5614], [0.9344, 0.7219, 0.4596], [0.0656, 0.2781, 0.5404], [0.5656, 0.7781, 0.9596], [0.4344, 0.2219, 0.0404], [0.8067, 0.4579, 0.6685], [0.1534, 0.4356, 0.0897], [0.6534, 0.9356, 0.4103], [0.3466, 0.0644, 0.5897], [0.8466, 0.5644, 0.9103], [0.1933, 0.5421, 0.3315], [0.3067, 0.9579, 0.8315], [0.6933, 0.0421, 0.1685], [0.1005, 0.8221, 0.0927], [0.3995, 0.6779, 0.5927], [0.8995, 0.1779, 0.9073], [0.6005, 0.3221, 0.4073]], "dft_energy_ev_per_cell": -303.547, "e_form_raw_kj_per_mol_atoms": -212.3, "crystal_system": "monoclinic", "magnetic_moment_mub_per_cell": 4.0, "space_group": "P2_1/c"}

=====

[11]
{"formula": "NaLi3SiO4", "functional": "GGA-PBEsol", "state": "relaxed", "lattice": [[-3.4326, -3.3849, -8.6158], [-1.7508, -5.9811, 7.6573], [-4.3912, 8.2787, 3.1069]], "species": ["Na", "Na", "Na", "Na", "Na", "Na", "Na", "Na", "O", "O", "O", "O", "O", "O", "O", "O", "O", "O", "O", "O", "O", "O", "O", "O", "O", "O", "O", "O", "O", "O", "O", "O", "O", "O", "O", "O", "O", "O", "O", "O", "Li", "Li", "Li", "Li", "Li", "Li", "Li", "Li", "Li", "Li", "Li", "Li", "Li", "Li", "Li", "Li", "Li", "Li", "Li", "Li", "Li", "Li", "Li", "Li", "Si", "Si", "Si", "Si", "Si", "Si", "Si", "Si"], "frac_coords": [[0.4860, 0.2945, 0.2529], [0.0140, 0.4555, 0.9971], [0.9585, 0.1916, 0.7055], [0.5415, 0.5584, 0.5445], [0.9860, 0.9831, 0.4416], [0.0415, 0.7471, 0.2331], [0.4585, 0.0029, 0.0169], [0.5140, 0.7669, 0.8084], [0.2562, 0.6146, 0.5245], [0.5901, 0.1084, 0.8646], [0.9302, 0.9225, 0.6637], [0.2412, 0.4137, 0.9834], [0.0698, 0.7334, 0.9923], [0.2257, 0.0980, 0.9769], [0.0901, 0.4755, 0.7316], [0.9099, 0.6416, 0.3854], [0.2588, 0.3363, 0.2666], [0.7412, 0.0077, 0.0775], [0.1885, 0.8591, 0.7509], [0.2438, 0.1354, 0.7255], [0.6885, 0.1876, 0.5794], [0.7562, 0.4816, 0.8916], [0.8789, 0.1277, 0.9020], [0.7588, 0.7423, 0.1725], [0.5698, 0.8275, 0.5863], [0.4099, 0.2745, 0.5184], [0.3115, 0.8909, 0.4991], [0.1082, 0.2491, 0.4376], [0.1211, 0.0231, 0.2488], [0.4302, 0.0166, 0.2577], [0.6211, 0.6223, 0.3480], [0.7257, 0.9988, 0.3777], [0.7743, 0.7512, 0.8723], [0.8115, 0.5624, 0.6706], [0.8918, 0.3294, 0.1409], [0.6082, 0.4206, 0.1091], [0.3918, 0.5009, 0.8124], [0.3789, 0.7269, 0.0012], [0.7438, 0.2684, 0.3584], [0.2743, 0.6520, 0.2731], [0.1302, 0.2220, 0.0315], [0.8698, 0.9013, 0.0918], [0.8646, 0.1683, 0.3039], [0.6779, 0.3388, 0.9770], [0.3646, 0.3107, 0.9462], [0.3221, 0.2991, 0.6609], [0.3618, 0.0230, 0.7009], [0.1779, 0.4509, 0.5891], [0.1354, 0.4393, 0.3038], [0.1905, 0.9685, 0.0987], [0.6355, 0.0539, 0.6893], [0.3645, 0.0538, 0.4183], [0.8618, 0.4109, 0.5888], [0.3095, 0.7815, 0.1513], [0.8645, 0.6961, 0.5607], [0.6382, 0.3391, 0.6612], [0.6302, 0.8487, 0.1582], [0.6354, 0.5817, 0.9461], [0.1382, 0.7270, 0.5491], [0.8095, 0.9082, 0.7780], [0.8221, 0.4112, 0.2730], [0.6905, 0.8418, 0.4720], [0.1355, 0.6962, 0.8317], [0.3698, 0.5280, 0.2185], [0.6424, 0.1109, 0.3921], [0.8576, 0.6391, 0.8579], [0.7188, 0.6079, 0.2503], [0.2188, 0.2185, 0.3609], [0.1424, 0.0003, 0.7815], [0.2812, 0.5315, 0.8891], [0.7812, 0.1421, 0.9997], [0.3576, 0.7497, 0.4685]], "dft_energy_ev_per_cell": -441.052, "e_form_raw_kj_per_mol_atoms": -226.1, "crystal_system": "tetragonal", "magnetic_moment_mub_per_cell": 0.0, "space_group": "I4_1/a"}

=====

[12]
{"formula": "Na5Li3Ti5O14", "functional": "GGA-PBEsol", "state": "relaxed", "lattice": [[-1.4371, -4.9107, -0.7086], [6.3090, -2.6860, -0.9788], [0.1645, -2.8759, 7.5817]], "species": ["Na", "Na", "Na", "Na", "Na", "O", "O", "O", "O", "O", "O", "O", "O", "O", "O", "O", "O", "O", "O", "Li", "Li", "Li", "Ti", "Ti", "Ti", "Ti", "Ti"], "frac_coords": [[0.3562, 0.2684, 0.7805], [0.9010, 0.1420, 0.6410], [0.0689, 0.8636, 0.3597], [0.5035, 0.9960, 0.5055], [0.6619, 0.7040, 0.2049], [0.5914, 0.3222, 0.5168], [0.6870, 0.1544, 0.9287], [0.3033, 0.8997, 0.1027], [0.1153, 0.2499, 0.0409], [0.9535, 0.7190, 0.9579], [0.7412, 0.0161, 0.2168], [0.0155, 0.4520, 0.6742], [0.4921, 0.4224, 0.1878], [0.9641, 0.5510, 0.3595], [0.8342, 0.8119, 0.6188], [0.3892, 0.6849, 0.4906], [0.4561, 0.5752, 0.7961], [0.2077, 0.1749, 0.3716], [0.1932, 0.9714, 0.7678], [0.8606, 0.2940, 0.2862], [0.8101, 0.4194, 0.9353], [0.2780, 0.6029, 0.0365], [0.7021, 0.5698, 0.5882], [0.2893, 0.4265, 0.4069], [0.1255, 0.7153, 0.7330], [0.4318, 0.1383, 0.1307], [0.9990, 0.0054, 0.0011]], "dft_energy_ev_per_cell": -197.136, "e_form_raw_kj_per_mol_atoms": -247.1, "crystal_system": "triclinic", "magnetic_moment_mub_per_cell": 0.0, "space_group": "P1"}